#i
A relaxed BePS2 crystal. Source: the Alexandria database, functional PBE.

Cell lengths 6.0498, 6.0498, 6.0498 Å; angles 90.00, 90.00, 90.00 degrees
With the nearest neighbours (Å) after each atom.
Space group Fm-3m (No. 225)
Inequivalent atoms, fractional coordinates:
Be: 0.0000 0.0000 0.0000 (multiplicity 4)  8 S 2.62
P: 0.0000 0.0000 0.5000 (multiplicity 4)  8 S 2.62
S: 0.2500 0.2500 0.2500 (multiplicity 8)  4 Be 2.62, 4 P 2.62

Results
The value obtained for the total magnetization is 0.000 Bohr magnetons per cell. As for the volume: 221 Å³/cell.



#ii
A relaxed BePS2 crystal. Source: the Alexandria database, functional PBE.

Cell lengths 5.7810, 5.7810, 8.1044 Å; angles 90.00, 90.00, 90.00 degrees
With the nearest neighbours (Å) after each atom.
Space group I-42d (No. 122)
Inequivalent atoms, fractional coordinates:
Be: 0.0000 0.0000 0.0000 (multiplicity 4)  4 S 2.10
P: 0.0000 0.0000 0.5000 (multiplicity 4)  4 S 2.49
S: 0.1960 0.7500 0.1250 (multiplicity 8)  2 Be 2.10

Results
The value obtained for the total magnetization is 0.000 Bohr magnetons per cell. As for the volume: 271 Å³/cell.



#iii
A relaxed BePS2 crystal. Source: the Alexandria database, functional PBE.

Cell lengths 3.3083, 3.3083, 20.2627 Å; angles 90.00, 90.00, 120.00 degrees
With the nearest neighbours (Å) after each atom.
Space group R-3m (No. 166, hexagonal axes)
Inequivalent atoms, fractional coordinates:
Be: 0.0000 0.0000 0.0000 (multiplicity 3)  6 S 2.24
P: 0.0000 0.0000 0.5000 (multiplicity 3)  2 S 2.20
S: 0.0000 0.0000 0.3915 (multiplicity 6)  1 P 2.20, 3 Be 2.24

Results
The value obtained for the total magnetization is 0.000 Bohr magnetons per cell. As for the volume: 192 Å³/cell.



#ii wins, 50 meV/atom ahead of the next structure.



#i
A relaxed BeP2S crystal. Source: the Alexandria database, functional PBE.

Cell lengths 5.1173, 5.1173, 10.7979 Å; angles 90.00, 90.00, 90.00 degrees
With the nearest neighbours (Å) after each atom.
Space group I-42d (No. 122)
Inequivalent atoms, fractional coordinates:
Be: 0.0000 0.0000 0.0000 (multiplicity 4)  4 P 2.12
P: 0.1999 0.2500 0.1250 (multiplicity 8)  2 Be 2.12
S: 0.0000 0.0000 0.5000 (multiplicity 4)  4 P 2.41

Results
The value obtained for the total magnetization is 0.000 Bohr magnetons per cell. As for the volume: 283 Å³/cell.



#ii
A relaxed BeP2S crystal. Source: the Alexandria database, functional PBE.

Cell lengths 6.0069, 6.0069, 6.0069 Å; angles 90.00, 90.00, 90.00 degrees
With the nearest neighbours (Å) after each atom.
Space group Fm-3m (No. 225)
Inequivalent atoms, fractional coordinates:
Be: 0.0000 0.0000 0.0000 (multiplicity 4)  8 P 2.60
P: 0.2500 0.2500 0.2500 (multiplicity 8)  4 S 2.60, 4 Be 2.60
S: 0.0000 0.0000 0.5000 (multiplicity 4)  8 P 2.60

Results
The value obtained for the total magnetization is 0.000 Bohr magnetons per cell. As for the volume: 217 Å³/cell.



#i wins, 565 meV/atom ahead of the next structure.



#i
A relaxed ScBePS2 crystal. Source: the Alexandria database, functional PBE.

Cell lengths 4.8232, 4.8232, 5.0493 Å; angles 90.00, 90.00, 90.00 degrees
With the nearest neighbours (Å) after each atom.
Space group P4/mmm (No. 123)
Inequivalent atoms, fractional coordinates:
Sc: 0.0000 0.0000 0.0000 (multiplicity 1)  4 S 2.41, 2 P 2.52
Be: 0.5000 0.5000 0.5000 (multiplicity 1)  4 P 3.41, 8 S 3.49
P: 0.0000 0.0000 0.5000 (multiplicity 1)  2 Sc 2.52
S: 0.0000 0.5000 0.0000 (multiplicity 2)  2 Sc 2.41

Results
The value obtained for the total magnetization is 0.031 Bohr magnetons per cell. As for the volume: 117 Å³/cell.



#ii
A relaxed ScBePS2 crystal. Source: the Alexandria database, functional PBE.

Cell lengths 4.4877, 4.4877, 4.1041 Å; angles 90.00, 90.00, 90.00 degrees
With the nearest neighbours (Å) after each atom.
Space group P4/mmm (No. 123)
Inequivalent atoms, fractional coordinates:
Sc: 0.0000 0.0000 0.0000 (multiplicity 1)  8 S 3.04, 4 P 3.17
Be: 0.5000 0.5000 0.5000 (multiplicity 1)  2 P 2.05, 4 S 2.24
P: 0.5000 0.5000 0.0000 (multiplicity 1)  2 Be 2.05
S: 0.0000 0.5000 0.5000 (multiplicity 2)  2 Be 2.24

Results
The value obtained for the total magnetization is 0.000 Bohr magnetons per cell. As for the volume: 83 Å³/cell.



#ii wins, 681 meV/atom ahead of the next structure.



#i
A relaxed ScBeP2S crystal. Source: the Alexandria database, functional PBE.

Cell lengths 4.9391, 4.9391, 4.8006 Å; angles 90.00, 90.00, 90.00 degrees
With the nearest neighbours (Å) after each atom.
Space group P4/mmm (No. 123)
Inequivalent atoms, fractional coordinates:
Sc: 0.0000 0.0000 0.0000 (multiplicity 1)  2 S 2.40, 4 P 2.47
Be: 0.5000 0.5000 0.5000 (multiplicity 1)  8 P 3.44, 4 S 3.49
P: 0.0000 0.5000 0.0000 (multiplicity 2)  2 Sc 2.47
S: 0.0000 0.0000 0.5000 (multiplicity 1)  2 Sc 2.40

Results
The value obtained for the total magnetization is 0.000 Bohr magnetons per cell. As for the volume: 117 Å³/cell.



#ii
A relaxed ScBeP2S crystal. Source: the Alexandria database, functional PBE.

Cell lengths 4.0149, 4.0149, 5.2509 Å; angles 90.00, 90.00, 90.00 degrees
With the nearest neighbours (Å) after each atom.
Space group P4/mmm (No. 123)
Inequivalent atoms, fractional coordinates:
Sc: 0.0000 0.0000 0.0000 (multiplicity 1)  4 S 2.84
Be: 0.5000 0.5000 0.5000 (multiplicity 1)  4 P 2.01
P: 0.0000 0.5000 0.5000 (multiplicity 2)  2 Be 2.01
S: 0.5000 0.5000 0.0000 (multiplicity 1)  2 Be 2.63, 4 Sc 2.84

Results
The value obtained for the total magnetization is 0.000 Bohr magnetons per cell. As for the volume: 85 Å³/cell.



#ii wins, 814 meV/atom ahead of the next structure.



#i
A relaxed BePSeS2 crystal. Source: the Alexandria database, functional PBE.

Cell lengths 4.7310, 4.7310, 4.8013 Å; angles 90.00, 90.00, 90.00 degrees
With the nearest neighbours (Å) after each atom.
Space group P4/mmm (No. 123)
Inequivalent atoms, fractional coordinates:
Be: 0.0000 0.0000 0.0000 (multiplicity 1)  4 P 3.35, 8 S 3.37
P: 0.5000 0.5000 0.0000 (multiplicity 1)  2 Se 2.40
Se: 0.5000 0.5000 0.5000 (multiplicity 1)  4 S 2.37, 2 P 2.40
S: 0.0000 0.5000 0.5000 (multiplicity 2)  2 Se 2.37

Results
The value obtained for the total magnetization is 0.399 Bohr magnetons per cell. As for the volume: 107 Å³/cell.



#ii
A relaxed BePSeS2 crystal. Source: the Alexandria database, functional PBE.

Cell lengths 4.2588, 4.2588, 4.4654 Å; angles 90.00, 90.00, 90.00 degrees
With the nearest neighbours (Å) after each atom.
Space group P4/mmm (No. 123)
Inequivalent atoms, fractional coordinates:
Be: 0.0000 0.0000 0.0000 (multiplicity 1)  4 S 2.13, 2 P 2.23
P: 0.0000 0.0000 0.5000 (multiplicity 1)  2 Be 2.23
Se: 0.5000 0.5000 0.5000 (multiplicity 1)  4 P 3.01, 8 S 3.09
S: 0.0000 0.5000 0.0000 (multiplicity 2)  2 Be 2.13

Results
The value obtained for the total magnetization is 0.000 Bohr magnetons per cell. As for the volume: 81 Å³/cell.



#ii wins, 666 meV/atom ahead of the next structure.



#i
A relaxed BeP2SeS crystal. Source: the Alexandria database, functional PBE.

Cell lengths 4.4268, 4.4268, 4.1177 Å; angles 90.00, 90.00, 90.00 degrees
With the nearest neighbours (Å) after each atom.
Space group P4/mmm (No. 123)
Inequivalent atoms, fractional coordinates:
Be: 0.0000 0.0000 0.0000 (multiplicity 1)  2 S 2.06, 4 P 2.21
P: 0.0000 0.5000 0.0000 (multiplicity 2)  2 Be 2.21
Se: 0.5000 0.5000 0.5000 (multiplicity 1)  8 P 3.02, 4 S 3.13
S: 0.0000 0.0000 0.5000 (multiplicity 1)  2 Be 2.06

Results
The value obtained for the total magnetization is 0.000 Bohr magnetons per cell. As for the volume: 81 Å³/cell.



#ii
A relaxed BeP2SeS crystal. Source: the Alexandria database, functional PBE.

Cell lengths 4.7627, 4.7627, 4.7340 Å; angles 90.00, 90.00, 90.00 degrees
With the nearest neighbours (Å) after each atom.
Space group P4/mmm (No. 123)
Inequivalent atoms, fractional coordinates:
Be: 0.0000 0.0000 0.0000 (multiplicity 1)  8 P 3.36, 4 S 3.37
P: 0.0000 0.5000 0.5000 (multiplicity 2)  2 Se 2.38
Se: 0.5000 0.5000 0.5000 (multiplicity 1)  2 S 2.37, 4 P 2.38
S: 0.5000 0.5000 0.0000 (multiplicity 1)  2 Se 2.37

Results
The value obtained for the total magnetization is 0.479 Bohr magnetons per cell. As for the volume: 107 Å³/cell.



#i wins, 755 meV/atom ahead of the next structure.



#i
A relaxed BeSnP2S crystal. Source: the Alexandria database, functional PBE.

Cell lengths 4.2472, 4.2472, 4.9462 Å; angles 90.00, 90.00, 90.00 degrees
With the nearest neighbours (Å) after each atom.
Space group P4/mmm (No. 123)
Inequivalent atoms, fractional coordinates:
Be: 0.0000 0.0000 0.0000 (multiplicity 1)  4 P 2.12
Sn: 0.5000 0.5000 0.5000 (multiplicity 1)  4 S 3.00, 8 P 3.26
P: 0.0000 0.5000 0.0000 (multiplicity 2)  2 Be 2.12
S: 0.0000 0.0000 0.5000 (multiplicity 1)  2 Be 2.47

Results
The value obtained for the total magnetization is 0.000 Bohr magnetons per cell. As for the volume: 89 Å³/cell.



#ii
A relaxed BeSnP2S crystal. Source: the Alexandria database, functional PBE.

Cell lengths 5.0542, 5.0542, 4.9665 Å; angles 90.00, 90.00, 90.00 degrees
With the nearest neighbours (Å) after each atom.
Space group P4/mmm (No. 123)
Inequivalent atoms, fractional coordinates:
Be: 0.0000 0.0000 0.0000 (multiplicity 1)  8 P 3.54, 4 S 3.57
Sn: 0.5000 0.5000 0.5000 (multiplicity 1)  2 S 2.48, 4 P 2.53
P: 0.0000 0.5000 0.5000 (multiplicity 2)  2 Sn 2.53
S: 0.5000 0.5000 0.0000 (multiplicity 1)  2 Sn 2.48

Results
The value obtained for the total magnetization is 1.007 Bohr magnetons per cell. As for the volume: 127 Å³/cell.



#i wins, 1000 meV/atom ahead of the next structure.